HgBiCl3 | the Alexandria database | GGA-PBE | optimized geometry; space-group type = P4mm; E_form (uncorrected) = -2.70 eV/f.u.; total energy = -12.4 eV for the cell shown
1.0
4.391 0.000 0.000
0.000 4.391 0.000
0.000 0.000 10.448
Hg Bi Cl
1 1 3
Direct
0.000 0.000 0.000
0.500 0.500 0.503
0.000 0.000 0.624
0.000 0.500 0.356
0.500 0.000 0.356